(1)
ZnMo3 | GGA-PBE | optimized geometry

a b c (Å): 5.5385 8.5941 5.2527
angles (deg): 90.00 90.00 90.00
With the nearest neighbours (Å) after each atom.
Fractional positions:
Zn: 0.0750 0.2500 0.1384  9 Mo 2.65-2.75
Zn: 0.4250 0.7500 0.6384  9 Mo 2.65-2.75
Zn: 0.5750 0.2500 0.3616  9 Mo 2.65-2.75
Zn: 0.9250 0.7500 0.8616  9 Mo 2.65-2.75
Mo: 0.0217 0.7500 0.3565  6 Mo 2.64-2.95, 3 Zn 2.65-2.71
Mo: 0.2319 0.5124 0.8890  6 Mo 2.64-2.95, 3 Zn 2.65-2.75
Mo: 0.2319 0.9876 0.8890  6 Mo 2.64-2.95, 3 Zn 2.65-2.75
Mo: 0.2681 0.0124 0.3890  6 Mo 2.64-2.95, 3 Zn 2.65-2.75
Mo: 0.2681 0.4876 0.3890  6 Mo 2.64-2.95, 3 Zn 2.65-2.75
Mo: 0.4783 0.2500 0.8565  6 Mo 2.64-2.95, 3 Zn 2.65-2.71
Mo: 0.5217 0.7500 0.1435  6 Mo 2.64-2.95, 3 Zn 2.65-2.71
Mo: 0.7319 0.5124 0.6110  6 Mo 2.64-2.95, 3 Zn 2.65-2.75
Mo: 0.7319 0.9876 0.6110  6 Mo 2.64-2.95, 3 Zn 2.65-2.75
Mo: 0.7681 0.0124 0.1110  6 Mo 2.64-2.95, 3 Zn 2.65-2.75
Mo: 0.7681 0.4876 0.1110  6 Mo 2.64-2.95, 3 Zn 2.65-2.75
Mo: 0.9783 0.2500 0.6435  6 Mo 2.64-2.95, 3 Zn 2.65-2.71

## Properties
For the formation energy from the elements, the calculation gives 253.5 meV per atom. The energy above the lowest structure with this stoichiometry comes out at 0.222 eV per atom. The total moment is 0.0 μB per formula unit. Its symmetry is No. 62. The value obtained for the total energy is -8.188 eV per atom.

(2)
Cs2HfBeBr | GGA-PBE | optimized geometry

a b c (Å): 7.3191 7.3191 4.5537
angles (deg): 90.00 90.00 90.00
With the nearest neighbours (Å) after each atom.
Fractional positions:
Cs: 0.0000 0.5000 0.0000  2 Be 3.66
Cs: 0.5000 0.0000 0.0000  2 Be 3.66
Hf: 0.0000 0.0000 0.5000  8 Cs 4.31, 2 Hf 4.55
Be: 0.5000 0.5000 0.0000  2 Br 2.28
Br: 0.5000 0.5000 0.5000  2 Be 2.28

## Properties
The total moment is 2.9 μB per formula unit. Its symmetry is No. 123. Its energy relative to the elements, uncorrected is 102.3 kJ/mol of atoms. The value obtained for the total energy is -2.351 eV per atom.

(3)
Nd4IrS2Br | GGA-PBE | optimized geometry

a b c (Å): 7.2827 4.0488 7.3644
angles (deg): 90.00 108.34 90.00
With the nearest neighbours (Å) after each atom.
Fractional positions:
Nd: 0.2279 0.0000 0.2238  3 S 2.80-3.00, 1 Ir 2.95, 2 Br 3.10
Nd: 0.2556 0.5000 0.7716  2 Ir 2.87, 3 S 2.87-3.04, 1 Br 3.07
Nd: 0.7444 0.5000 0.2284  2 Ir 2.87, 3 S 2.87-3.04, 1 Br 3.07
Nd: 0.7721 0.0000 0.7762  3 S 2.80-3.00, 1 Ir 2.95, 2 Br 3.10
Ir: 0.5000 0.0000 0.0000  6 Nd 2.87-2.95
S: 0.0000 0.0000 0.5000  6 Nd 3.00-3.04
S: 0.0000 0.5000 0.0000  6 Nd 2.80-2.87
Br: 0.5000 0.5000 0.5000  6 Nd 3.07-3.10

## Properties
The total moment is 0.0 μB per formula unit. Its symmetry is No. 10. Its energy relative to the elements, uncorrected is -140.0 kJ/mol of atoms. The value obtained for the total energy is -6.183 eV per atom.

(4)
Ba2LiPb3 | GGA-PBE | optimized geometry

a b c (Å): 6.7063 6.7063 8.5188
angles (deg): 127.59 127.59 47.10
With the nearest neighbours (Å) after each atom.
Fractional positions:
Ba: 0.0000 0.0000 0.0000  9 Pb 3.61-4.03, 3 Li 3.69-3.86
Ba: 0.1012 0.1012 0.6121  8 Pb 3.60-3.87, 1 Li 3.70
Li: 0.7211 0.7211 0.3923  4 Pb 3.01-3.07
Pb: 0.3686 0.3686 0.5591  2 Li 3.01, 2 Pb 3.26-3.31
Pb: 0.4073 0.4073 0.2155  1 Li 3.07, 3 Pb 3.26
Pb: 0.7057 0.7057 0.0196  1 Li 3.05, 3 Pb 3.26-3.31

## Properties
For the formation energy from the elements, the calculation gives -456.7 meV per atom. The energy above the lowest structure with this stoichiometry comes out at 0.000 eV per atom. The total moment is 0.0 μB per formula unit. Its symmetry is No. 8. The value obtained for the total energy is -3.271 eV per atom.

(5)
Pr6Ho2Er3In | GGA-PBE | optimized geometry

a b c (Å): 6.2281 6.2281 11.8275
angles (deg): 95.08 95.08 120.14
With the nearest neighbours (Å) after each atom.
Fractional positions:
Pr: 0.0825 0.4102 0.7485  6 Pr 3.53-3.63, 1 In 3.54, 2 Ho 3.57, 3 Er 3.58-3.60
Pr: 0.2446 0.2446 0.2503  6 Pr 3.53-3.63, 1 In 3.55, 3 Er 3.57-3.60, 2 Ho 3.58
Pr: 0.4102 0.0825 0.7485  6 Pr 3.53-3.63, 1 In 3.54, 2 Ho 3.57, 3 Er 3.58-3.60
Pr: 0.5898 0.9175 0.2515  6 Pr 3.53-3.63, 1 In 3.54, 2 Ho 3.57, 3 Er 3.58-3.60
Pr: 0.7554 0.7554 0.7497  6 Pr 3.53-3.63, 1 In 3.55, 3 Er 3.57-3.60, 2 Ho 3.58
Pr: 0.9175 0.5898 0.2515  6 Pr 3.53-3.63, 1 In 3.54, 2 Ho 3.57, 3 Er 3.58-3.60
Ho: 0.3336 0.6664 0.5000  6 Pr 3.57-3.58, 3 In 3.59-3.60, 3 Ho 3.59
Ho: 0.6664 0.3336 0.5000  6 Pr 3.57-3.58, 3 In 3.59-3.60, 3 Ho 3.59
Er: 0.1677 0.8323 0.0000  6 Pr 3.57-3.60, 6 Er 3.58-3.62
Er: 0.5000 0.5000 0.0000  6 Pr 3.58-3.60, 6 Er 3.59-3.60
Er: 0.8323 0.1677 0.0000  6 Pr 3.57-3.60, 6 Er 3.58-3.62
In: 0.0000 0.0000 0.5000  6 Pr 3.54-3.55, 6 Ho 3.59-3.60

## Properties
For the formation energy from the elements, the calculation gives -28.8 meV per atom. The total moment is 0.0 μB per formula unit. Its symmetry is No. 12. The value obtained for the total energy is -4.550 eV per atom.

(6)
LaMn2Pb | GGA-PBE | optimized geometry

a b c (Å): 4.7342 4.7342 4.0737
angles (deg): 90.00 90.00 90.00
With the nearest neighbours (Å) after each atom.
Fractional positions:
La: 0.0000 0.0000 0.0000  8 Mn 3.12, 4 Pb 3.35
Mn: 0.0000 0.5000 0.5000  4 Pb 3.12, 4 La 3.12, 4 Mn 3.35
Mn: 0.5000 0.0000 0.5000  4 Pb 3.12, 4 La 3.12, 4 Mn 3.35
Pb: 0.5000 0.5000 0.0000  8 Mn 3.12, 4 La 3.35

## Properties
For the formation energy from the elements, the calculation gives 270.1 meV per atom. The total moment is 6.9 μB per formula unit. Its symmetry is No. 123. The value obtained for the total energy is -6.474 eV per atom.

(7)
SrTl2Te | GGA-PBE | optimized geometry

a b c (Å): 8.8837 8.8837 8.8837
angles (deg): 29.40 29.40 29.40
With the nearest neighbours (Å) after each atom.
Fractional positions:
Sr: 0.0000 0.0000 0.0000  6 Tl 3.53
Tl: 0.2396 0.2396 0.2396  3 Te 3.20, 3 Sr 3.53
Tl: 0.7604 0.7604 0.7604  3 Te 3.20, 3 Sr 3.53
Te: 0.5000 0.5000 0.5000  6 Tl 3.20

## Properties
The energy above the lowest structure with this stoichiometry comes out at 0.405 eV per atom. The total moment is 0.0 μB per formula unit. Its symmetry is No. 166. Its energy relative to the elements, uncorrected is -23.1 kJ/mol of atoms. The value obtained for the total energy is -2.629 eV per atom.

(8)
Be5AlIr6 | GGA-PBE | optimized geometry

a b c (Å): 4.0302 5.6943 6.3633
angles (deg): 90.00 108.55 90.00
With the nearest neighbours (Å) after each atom.
Fractional positions:
Be: 0.0000 0.0000 0.0000  8 Ir 2.44-2.49
Be: 0.3362 0.0000 0.6718  8 Ir 2.41-2.46
Be: 0.3356 0.5000 0.6699  8 Ir 2.45-2.48
Be: 0.6638 0.0000 0.3282  8 Ir 2.41-2.46
Be: 0.6644 0.5000 0.3301  8 Ir 2.45-2.48
Al: 0.0000 0.5000 0.0000  8 Ir 2.50-2.52
Ir: 0.1711 0.2457 0.3424  7 Be 2.43-2.49, 1 Al 2.52
Ir: 0.1711 0.7543 0.3424  7 Be 2.43-2.49, 1 Al 2.52
Ir: 0.5000 0.2407 0.0000  6 Be 2.41-2.48, 2 Al 2.50
Ir: 0.5000 0.7593 0.0000  6 Be 2.41-2.48, 2 Al 2.50
Ir: 0.8289 0.2457 0.6576  7 Be 2.43-2.49, 1 Al 2.52
Ir: 0.8289 0.7543 0.6576  7 Be 2.43-2.49, 1 Al 2.52

## Properties
For the formation energy from the elements, the calculation gives -614.3 meV per atom. The total moment is 0.0 μB per formula unit. Its symmetry is No. 10. The value obtained for the total energy is -6.909 eV per atom.

(9)
Sm3Zn3Ru2 | GGA-PBE | optimized geometry

a b c (Å): 5.5770 5.5770 16.4509
angles (deg): 90.00 90.00 138.06
With the nearest neighbours (Å) after each atom.
Fractional positions:
Sm: 0.0626 0.9374 0.6051  3 Ru 2.96-3.05, 7 Zn 3.15-3.29
Sm: 0.0626 0.9374 0.8949  3 Ru 2.96-3.05, 7 Zn 3.15-3.29
Sm: 0.3382 0.6618 0.7500  3 Zn 2.96-3.03, 4 Ru 3.01
Sm: 0.6618 0.3382 0.2500  3 Zn 2.96-3.03, 4 Ru 3.01
Sm: 0.9374 0.0626 0.1051  3 Ru 2.96-3.05, 7 Zn 3.15-3.29
Sm: 0.9374 0.0626 0.3949  3 Ru 2.96-3.05, 7 Zn 3.15-3.29
Zn: 0.3414 0.6586 0.5296  3 Ru 2.60-2.72
Zn: 0.3414 0.6586 0.9704  3 Ru 2.60-2.72
Zn: 0.3713 0.6287 0.2500  2 Ru 2.60
Zn: 0.6287 0.3713 0.7500  2 Ru 2.60
Zn: 0.6586 0.3414 0.0296  3 Ru 2.60-2.72
Zn: 0.6586 0.3414 0.4704  3 Ru 2.60-2.72
Ru: 0.2294 0.7706 0.1200  4 Zn 2.60-2.72
Ru: 0.2294 0.7706 0.3800  4 Zn 2.60-2.72
Ru: 0.7706 0.2294 0.6200  4 Zn 2.60-2.72
Ru: 0.7706 0.2294 0.8800  4 Zn 2.60-2.72

## Properties
For the formation energy from the elements, the calculation gives -291.6 meV per atom. The total moment is 0.0 μB per formula unit. Its symmetry is No. 63. The value obtained for the total energy is -4.858 eV per atom.

(10)
Pm2Nd2Pd3 | GGA-PBE | optimized geometry

a b c (Å): 4.2558 7.1307 7.2479
angles (deg): 99.60 90.06 107.33
With the nearest neighbours (Å) after each atom.
Fractional positions:
Pm: 0.1322 0.2614 0.3681  4 Pd 2.89-2.94
Pm: 0.8678 0.7386 0.6319  4 Pd 2.89-2.94
Nd: 0.3736 0.7462 0.1165  5 Pd 2.93-2.98
Nd: 0.6264 0.2538 0.8835  5 Pd 2.93-2.98
Pd: 0.0000 0.0000 0.0000  2 Pm 2.94, 4 Nd 2.96
Pd: 0.2471 0.4963 0.7433  3 Pm 2.89-2.90, 3 Nd 2.93-2.98
Pd: 0.7529 0.5037 0.2567  3 Pm 2.89-2.90, 3 Nd 2.93-2.98

## Properties
For the formation energy from the elements, the calculation gives -557.3 meV per atom. The total moment is 0.0 μB per formula unit. Its symmetry is No. 2. The value obtained for the total energy is -5.502 eV per atom.

(11)
OsAuO3 | GGA-PBE | optimized geometry

a b c (Å): 3.8876 3.8876 3.8876
angles (deg): 90.00 90.00 90.00
With the nearest neighbours (Å) after each atom.
Fractional positions:
Os: 0.0000 0.0000 0.0000  6 O 1.94
Au: 0.5000 0.5000 0.5000  12 O 2.75
O: 0.0000 0.0000 0.5000  2 Os 1.94
O: 0.0000 0.5000 0.0000  2 Os 1.94
O: 0.5000 0.0000 0.0000  2 Os 1.94

## Properties
The total moment is 0.0 μB per formula unit. Its symmetry is No. 221. Its energy relative to the elements, uncorrected is -17.8 kJ/mol of atoms. The value obtained for the total energy is -6.061 eV per atom.

(12)
Pr4NdAu5 | GGA-PBE | optimized geometry

a b c (Å): 3.7177 3.7177 18.9204
angles (deg): 90.00 90.00 90.00
With the nearest neighbours (Å) after each atom.
Fractional positions:
Pr: 0.0000 0.0000 0.1002  8 Au 3.24
Pr: 0.0000 0.0000 0.3007  8 Au 3.24-3.25
Pr: 0.0000 0.0000 0.6993  8 Au 3.24-3.25
Pr: 0.0000 0.0000 0.8998  8 Au 3.24
Nd: 0.0000 0.0000 0.5000  8 Au 3.22
Au: 0.5000 0.5000 0.0000  8 Pr 3.24
Au: 0.5000 0.5000 0.2003  8 Pr 3.24
Au: 0.5000 0.5000 0.4022  4 Nd 3.22, 4 Pr 3.25
Au: 0.5000 0.5000 0.5978  4 Nd 3.22, 4 Pr 3.25
Au: 0.5000 0.5000 0.7997  8 Pr 3.24

## Properties
For the formation energy from the elements, the calculation gives -749.9 meV per atom. The total moment is 0.0 μB per formula unit. Its symmetry is No. 123. The value obtained for the total energy is -4.777 eV per atom.